Entry 1:
A plane-wave DFT calculation with PBEsol was carried out for a relaxed structure of KGeSeS2.

Cell: 4.8139 4.8139 5.0312 Å, 90.00 90.00 90.00°
Sites, in units of the cell vectors:
K1 0.0000 0.0000 0.0000
Ge1 0.5000 0.5000 0.5000
Se1 0.5000 0.5000 0.0000
S1 0.0000 0.5000 0.5000
S2 0.5000 0.0000 0.5000

Properties
**E**: -3.966 eV/atom
**Uncorrected formation energy**: -0.228 eV/atom
**Crystal system**: tetragonal

=====

Entry 2:
A plane-wave DFT calculation with PBEsol was carried out for a relaxed structure of SrTc2F.

Cell: 6.5499 6.5499 6.5499 Å, 90.00 90.00 90.00°
Sites, in units of the cell vectors:
Sr1 0.0000 0.0000 0.0000
Sr2 0.0000 0.5000 0.5000
Sr3 0.5000 0.0000 0.5000
Sr4 0.5000 0.5000 0.0000
Tc1 0.2500 0.2500 0.2500
Tc2 0.2500 0.2500 0.7500
Tc3 0.2500 0.7500 0.2500
Tc4 0.2500 0.7500 0.7500
Tc5 0.7500 0.2500 0.2500
Tc6 0.7500 0.2500 0.7500
Tc7 0.7500 0.7500 0.2500
Tc8 0.7500 0.7500 0.7500
F1 0.0000 0.0000 0.5000
F2 0.0000 0.5000 0.0000
F3 0.5000 0.0000 0.0000
F4 0.5000 0.5000 0.5000

Properties
**E**: -5.139 eV/atom
**Uncorrected formation energy**: 1.436 eV/atom
**Crystal system**: cubic

=====

Repeat the second record exactly.
A plane-wave DFT calculation with PBEsol was carried out for a relaxed structure of SrTc2F.

Cell: 6.5499 6.5499 6.5499 Å, 90.00 90.00 90.00°
Sites, in units of the cell vectors:
Sr1 0.0000 0.0000 0.0000
Sr2 0.0000 0.5000 0.5000
Sr3 0.5000 0.0000 0.5000
Sr4 0.5000 0.5000 0.0000
Tc1 0.2500 0.2500 0.2500
Tc2 0.2500 0.2500 0.7500
Tc3 0.2500 0.7500 0.2500
Tc4 0.2500 0.7500 0.7500
Tc5 0.7500 0.2500 0.2500
Tc6 0.7500 0.2500 0.7500
Tc7 0.7500 0.7500 0.2500
Tc8 0.7500 0.7500 0.7500
F1 0.0000 0.0000 0.5000
F2 0.0000 0.5000 0.0000
F3 0.5000 0.0000 0.0000
F4 0.5000 0.5000 0.5000

Properties
**E**: -5.139 eV/atom
**Uncorrected formation energy**: 1.436 eV/atom
**Crystal system**: cubic

=====

The highest E belongs to which entry?
KGeSeS2

=====

Among the records above, which one has the highest E?
KGeSeS2

=====

What is the E in the first record?
-3.966 eV/atom